Ba2YH: optimized geometry, PBE.

Cell lengths 8.6652, 8.6652, 8.6652 Å; angles 90.00, 90.00, 90.00 degrees
With the nearest neighbours (Å) after each atom.
Space group Fm-3m (No. 225)
Inequivalent atoms, fractional coordinates:
Ba 0.2500 0.2500 0.2500 (multiplicity 8)  4 H 3.75, 4 Y 3.75
Y 0.0000 0.0000 0.0000 (multiplicity 4)  8 Ba 3.75
H 0.0000 0.0000 0.5000 (multiplicity 4)  8 Ba 3.75

## Properties
total DFT energy (no corrections)	-2.700	eV per atom
total magnetization	0.00	μB per cell
theoretical density	3.72	g/cm3